Entry 1:
First-principles (PBE) data for crystalline TaP2 at its relaxed geometry, as listed in Alexandria via LeMat-Bulk. Values from VASP.

Calculated values
total magnetic moment = 0.000 μB/atom
E_form = -0.48 eV/f.u.

Structure (Quantum ESPRESSO input):
```
&SYSTEM
  ibrav = 0, nat = 12, ntyp = 2
/
ATOMIC_SPECIES
Ta 180.95 Ta.upf
P 30.97 P.upf
CELL_PARAMETERS angstrom
3.1917 0.0000 0.0000
0.0000 3.1917 0.0000
0.0000 0.0000 19.0402
ATOMIC_POSITIONS crystal
Ta 0.0000 0.2500 0.3750
Ta 0.0000 0.7500 0.6250
Ta 0.5000 0.2500 0.1250
Ta 0.5000 0.7500 0.8750
P 0.0000 0.2500 0.8047
P 0.0000 0.2500 0.9453
P 0.0000 0.7500 0.0547
P 0.0000 0.7500 0.1953
P 0.5000 0.2500 0.5547
P 0.5000 0.2500 0.6953
P 0.5000 0.7500 0.3047
P 0.5000 0.7500 0.4453
```

=====

Entry 2:
First-principles (PBE) data for crystalline TaP2 at its relaxed geometry, as listed in Alexandria via LeMat-Bulk. Values from VASP.

Calculated values
total magnetic moment = 0.000 μB/atom
E_form = 0.05 eV/f.u.

Structure (Quantum ESPRESSO input):
```
&SYSTEM
  ibrav = 0, nat = 12, ntyp = 2
/
ATOMIC_SPECIES
Ta 180.95 Ta.upf
P 30.97 P.upf
CELL_PARAMETERS angstrom
6.0326 0.0000 0.0000
0.0000 6.0326 0.0000
0.0000 0.0000 6.0326
ATOMIC_POSITIONS crystal
Ta 0.0000 0.0000 0.0000
Ta 0.0000 0.5000 0.5000
Ta 0.5000 0.0000 0.5000
Ta 0.5000 0.5000 0.0000
P 0.2500 0.2500 0.2500
P 0.2500 0.2500 0.7500
P 0.2500 0.7500 0.2500
P 0.2500 0.7500 0.7500
P 0.7500 0.2500 0.2500
P 0.7500 0.2500 0.7500
P 0.7500 0.7500 0.2500
P 0.7500 0.7500 0.7500
```

=====

Entry 3:
First-principles (PBE) data for crystalline TaP5 at its relaxed geometry, as listed in Alexandria via LeMat-Bulk. Values from VASP.

Calculated values
polymorph energy (0 for the lowest one) = 0 meV per atom
total magnetic moment = 0.000 μB/atom
E_form = -0.05 eV/f.u.

Structure (Quantum ESPRESSO input):
```
&SYSTEM
  ibrav = 0, nat = 12, ntyp = 2
/
ATOMIC_SPECIES
Ta 180.95 Ta.upf
P 30.97 P.upf
CELL_PARAMETERS angstrom
9.5649 0.0000 0.0000
0.0000 3.3306 0.0000
-3.0653 0.0000 6.0321
ATOMIC_POSITIONS crystal
Ta 0.0000 0.0000 0.0000
Ta 0.5000 0.5000 0.0000
P 0.0844 0.0000 0.6736
P 0.2049 0.5000 0.9521
P 0.2307 0.5000 0.3436
P 0.3246 0.0000 0.6891
P 0.4932 0.0000 0.2828
P 0.5844 0.5000 0.6736
P 0.7049 0.0000 0.9521
P 0.7307 0.0000 0.3436
P 0.8246 0.5000 0.6891
P 0.9932 0.5000 0.2828
```

=====

Entry 4:
First-principles (PBE) data for crystalline TaP2 at its relaxed geometry, as listed in Alexandria via LeMat-Bulk. Values from VASP.

Calculated values
total magnetic moment = 0.000 μB/atom
E_form = 0.81 eV/f.u.

Structure (Quantum ESPRESSO input):
```
&SYSTEM
  ibrav = 0, nat = 3, ntyp = 2
/
ATOMIC_SPECIES
Ta 180.95 Ta.upf
P 30.97 P.upf
CELL_PARAMETERS angstrom
4.1871 0.0000 0.0000
-2.0936 3.6262 0.0000
0.0000 0.0000 2.9185
ATOMIC_POSITIONS crystal
Ta 0.0000 0.0000 0.0000
P 0.3333 0.6667 0.5000
P 0.6667 0.3333 0.5000
```

=====

- total magnetic moment of number 3 (TaP5)?
  0.000 μB/atom

=====

What did the first record say?
First-principles (PBE) data for crystalline TaP2 at its relaxed geometry, as listed in Alexandria via LeMat-Bulk. Values from VASP.

Calculated values
total magnetic moment = 0.000 μB/atom
E_form = -0.48 eV/f.u.

Structure (Quantum ESPRESSO input):
```
&SYSTEM
  ibrav = 0, nat = 12, ntyp = 2
/
ATOMIC_SPECIES
Ta 180.95 Ta.upf
P 30.97 P.upf
CELL_PARAMETERS angstrom
3.1917 0.0000 0.0000
0.0000 3.1917 0.0000
0.0000 0.0000 19.0402
ATOMIC_POSITIONS crystal
Ta 0.0000 0.2500 0.3750
Ta 0.0000 0.7500 0.6250
Ta 0.5000 0.2500 0.1250
Ta 0.5000 0.7500 0.8750
P 0.0000 0.2500 0.8047
P 0.0000 0.2500 0.9453
P 0.0000 0.7500 0.0547
P 0.0000 0.7500 0.1953
P 0.5000 0.2500 0.5547
P 0.5000 0.2500 0.6953
P 0.5000 0.7500 0.3047
P 0.5000 0.7500 0.4453
```

=====

- E_form of number 4 (TaP2)?
  0.81 eV/f.u.

=====

- What is the E_form in the second record?
  0.05 eV/f.u.